## 1
Entry from Alexandria via LeMat-Bulk: a relaxed BaCaCd crystal (GGA-PBE).

```
BaCaCd
1.0
0.000 4.092 4.092
4.092 0.000 4.092
4.092 4.092 0.000
Ba Ca Cd
1 1 1
direct
0.000 0.000 0.000
0.250 0.250 0.250
0.750 0.750 0.750
```

Results
density of states at the Fermi level: 5.48 states/eV/cell
space group: F-43m, No. 216


## 2
Entry from Alexandria via LeMat-Bulk: a relaxed BaCaCd crystal (GGA-PBE).

```
BaCaCd
1.0
-2.052 2.052 7.014
2.052 -2.052 7.014
2.052 2.052 -7.014
Ba Ca Cd
1 1 1
direct
0.000 0.000 0.000
0.275 0.275 0.000
0.661 0.661 0.000
```

Results
density of states at the Fermi level: 3.94 states/eV/cell
space group: I4mm, No. 107


## 3
Entry from Alexandria via LeMat-Bulk: a relaxed BaCaCd crystal (GGA-PBE).

```
BaCaCd
1.0
5.219 0.000 0.000
0.000 5.219 0.000
0.000 0.000 9.080
Ba Ca Cd
2 2 2
direct
0.250 0.250 0.141
0.750 0.750 0.859
0.250 0.750 0.500
0.750 0.250 0.500
0.250 0.250 0.732
0.750 0.750 0.268
```

Results
density of states at the Fermi level: 9.44 states/eV/cell
space group: P4/nmm, No. 129


## 4
Entry from Alexandria via LeMat-Bulk: a relaxed BaCaCd crystal (GGA-PBE).

```
BaCaCd
1.0
5.730 0.000 0.000
-2.865 4.963 0.000
0.000 0.000 4.250
Ba Ca Cd
1 1 1
direct
0.000 0.000 0.000
0.667 0.333 0.501
0.333 0.667 0.498
```

Results
density of states at the Fermi level: 4.67 states/eV/cell
space group: P3m1, No. 156


The winner here is 2, beating the second structure by 5 meV per atom.


## 1
Entry from Alexandria via LeMat-Bulk: a relaxed Ba2Ca2Cd crystal (GGA-PBE).

```
Ba2Ca2Cd
1.0
8.403 0.000 0.000
0.000 8.403 0.000
0.000 0.000 6.521
Ba Ca Cd
4 4 2
direct
0.177 0.323 0.000
0.323 0.823 0.000
0.677 0.177 0.000
0.823 0.677 0.000
0.153 0.653 0.500
0.347 0.153 0.500
0.653 0.847 0.500
0.847 0.347 0.500
0.000 0.000 0.500
0.500 0.500 0.500
```

Results
density of states at the Fermi level: 8.10 states/eV/cell
space group: P4/mbm, No. 127


## 2
Entry from Alexandria via LeMat-Bulk: a relaxed Ba2Ca2Cd crystal (GGA-PBE).

```
Ba2Ca2Cd
1.0
-2.119 2.119 12.519
2.119 -2.119 12.519
2.119 2.119 -12.519
Ba Ca Cd
2 2 1
direct
0.082 0.082 0.000
0.918 0.918 0.000
0.298 0.298 0.000
0.702 0.702 0.000
0.500 0.500 0.000
```

Results
density of states at the Fermi level: 4.54 states/eV/cell
space group: I4/mmm, No. 139


## 3
Entry from Alexandria via LeMat-Bulk: a relaxed Ba2Ca2Cd crystal (GGA-PBE).

```
Ba2Ca2Cd
1.0
8.929 0.000 0.000
0.000 8.929 0.000
0.000 0.000 6.254
Ba Ca Cd
4 4 2
direct
0.152 0.348 0.000
0.348 0.848 0.000
0.652 0.152 0.000
0.848 0.652 0.000
0.160 0.660 0.500
0.340 0.160 0.500
0.660 0.840 0.500
0.840 0.340 0.500
0.000 0.000 0.000
0.500 0.500 0.000
```

Results
density of states at the Fermi level: 13.81 states/eV/cell
space group: P4/mbm, No. 127


The winner here is 2, beating the second structure by 123 meV per atom.


## 1
Entry from Alexandria via LeMat-Bulk: a relaxed BaCa2CdCu crystal (GGA-PBE).

```
BaCa2CdCu
1.0
5.641 0.000 0.000
0.000 5.641 0.000
0.000 0.000 5.295
Ba Ca Cd Cu
1 2 1 1
direct
0.000 0.000 0.000
0.000 0.500 0.500
0.500 0.000 0.500
0.500 0.500 0.000
0.500 0.500 0.500
```

Results
density of states at the Fermi level: 4.68 states/eV/cell
space group: P4/mmm, No. 123


## 2
Entry from Alexandria via LeMat-Bulk: a relaxed BaCa2CdCu crystal (GGA-PBE).

```
BaCa2CdCu
1.0
5.640 0.000 0.000
0.000 5.640 0.000
0.000 0.000 6.029
Ba Ca Cd Cu
1 2 1 1
direct
0.000 0.000 0.000
0.000 0.500 0.500
0.500 0.000 0.500
0.500 0.500 0.000
0.000 0.000 0.500
```

Results
density of states at the Fermi level: 3.30 states/eV/cell
space group: P4/mmm, No. 123


The winner here is 1, beating the second structure by 41 meV per atom.


## 1
Entry from Alexandria via LeMat-Bulk: a relaxed Ba2CaCdH crystal (GGA-PBE).

```
Ba2CaCdH
1.0
5.880 0.000 0.000
0.000 5.880 0.000
0.000 0.000 4.817
Ba Ca Cd H
2 1 1 1
direct
0.000 0.500 0.000
0.500 0.000 0.000
0.000 0.000 0.500
0.500 0.500 0.500
0.000 0.000 0.000
```

Results
density of states at the Fermi level: 3.84 states/eV/cell
space group: P4/mmm, No. 123


## 2
Entry from Alexandria via LeMat-Bulk: a relaxed Ba2CaCdH crystal (GGA-PBE).

```
Ba2CaCdH
1.0
5.687 0.000 0.000
0.000 5.687 0.000
0.000 0.000 5.213
Ba Ca Cd H
2 1 1 1
direct
0.000 0.500 0.000
0.500 0.000 0.000
0.000 0.000 0.500
0.500 0.500 0.500
0.500 0.500 0.000
```

Results
density of states at the Fermi level: 6.11 states/eV/cell
space group: P4/mmm, No. 123


The winner here is 1, beating the second structure by 115 meV per atom.


## 1
Entry from Alexandria via LeMat-Bulk: a relaxed BaCa2CdIr crystal (GGA-PBE).

```
BaCa2CdIr
1.0
5.533 0.000 0.000
0.000 5.533 0.000
0.000 0.000 6.061
Ba Ca Cd Ir
1 2 1 1
direct
0.000 0.000 0.000
0.000 0.500 0.500
0.500 0.000 0.500
0.500 0.500 0.000
0.000 0.000 0.500
```

Results
density of states at the Fermi level: 2.54 states/eV/cell
space group: P4/mmm, No. 123


## 2
Entry from Alexandria via LeMat-Bulk: a relaxed BaCa2CdIr crystal (GGA-PBE).

```
BaCa2CdIr
1.0
5.517 0.000 0.000
0.000 5.517 0.000
0.000 0.000 5.496
Ba Ca Cd Ir
1 2 1 1
direct
0.000 0.000 0.000
0.000 0.500 0.500
0.500 0.000 0.500
0.500 0.500 0.000
0.500 0.500 0.500
```

Results
density of states at the Fermi level: 3.40 states/eV/cell
space group: P4/mmm, No. 123


The winner here is 1, beating the second structure by 7 meV per atom.


## 1
Entry from Alexandria via LeMat-Bulk: a relaxed Ba2NaCaCd crystal (GGA-PBE).

```
Ba2NaCaCd
1.0
6.682 0.000 0.000
0.000 6.682 0.000
0.000 0.000 6.150
Ba Na Ca Cd
2 1 1 1
direct
0.000 0.500 0.000
0.500 0.000 0.000
0.000 0.000 0.500
0.500 0.500 0.500
0.500 0.500 0.000
```

Results
density of states at the Fermi level: 4.18 states/eV/cell
space group: P4/mmm, No. 123


## 2
Entry from Alexandria via LeMat-Bulk: a relaxed Ba2NaCaCd crystal (GGA-PBE).

```
Ba2NaCaCd
1.0
6.740 0.000 0.000
0.000 6.740 0.000
0.000 0.000 5.774
Ba Na Ca Cd
2 1 1 1
direct
0.000 0.500 0.000
0.500 0.000 0.000
0.000 0.000 0.500
0.500 0.500 0.500
0.000 0.000 0.000
```

Results
density of states at the Fermi level: 4.30 states/eV/cell
space group: P4/mmm, No. 123


The winner here is 1, beating the second structure by 62 meV per atom.


## 1
Entry from Alexandria via LeMat-Bulk: a relaxed BaCa2CdNi crystal (GGA-PBE).

```
BaCa2CdNi
1.0
5.482 0.000 0.000
0.000 5.482 0.000
0.000 0.000 5.926
Ba Ca Cd Ni
1 2 1 1
direct
0.000 0.000 0.000
0.000 0.500 0.500
0.500 0.000 0.500
0.500 0.500 0.000
0.000 0.000 0.500
```

Results
density of states at the Fermi level: 3.17 states/eV/cell
space group: P4/mmm, No. 123


## 2
Entry from Alexandria via LeMat-Bulk: a relaxed BaCa2CdNi crystal (GGA-PBE).

```
BaCa2CdNi
1.0
5.461 0.000 0.000
0.000 5.461 0.000
0.000 0.000 5.335
Ba Ca Cd Ni
1 2 1 1
direct
0.000 0.000 0.000
0.000 0.500 0.500
0.500 0.000 0.500
0.500 0.500 0.000
0.500 0.500 0.500
```

Results
density of states at the Fermi level: 5.21 states/eV/cell
space group: P4/mmm, No. 123


The winner here is 2, beating the second structure by 17 meV per atom.


## 1
Entry from Alexandria via LeMat-Bulk: a relaxed Ba2CaCdPd crystal (GGA-PBE).

```
Ba2CaCdPd
1.0
6.178 0.000 0.000
0.000 6.178 0.000
0.000 0.000 5.434
Ba Ca Cd Pd
2 1 1 1
direct
0.000 0.500 0.000
0.500 0.000 0.000
0.000 0.000 0.500
0.500 0.500 0.500
0.500 0.500 0.000
```

Results
density of states at the Fermi level: 4.74 states/eV/cell
space group: P4/mmm, No. 123


## 2
Entry from Alexandria via LeMat-Bulk: a relaxed Ba2CaCdPd crystal (GGA-PBE).

```
Ba2CaCdPd
1.0
6.213 0.000 0.000
0.000 6.213 0.000
0.000 0.000 5.572
Ba Ca Cd Pd
2 1 1 1
direct
0.000 0.500 0.000
0.500 0.000 0.000
0.000 0.000 0.500
0.500 0.500 0.500
0.000 0.000 0.000
```

Results
density of states at the Fermi level: 3.06 states/eV/cell
space group: P4/mmm, No. 123


## 3
Entry from Alexandria via LeMat-Bulk: a relaxed Ba2CaCdPd crystal (GGA-PBE).

```
Ba2CaCdPd
1.0
6.665 0.000 0.000
0.000 6.665 0.000
0.000 0.000 5.421
Ba Ca Cd Pd
2 1 1 1
direct
0.000 0.500 0.000
0.500 0.000 0.000
0.000 0.000 0.000
0.000 0.000 0.500
0.500 0.500 0.500
```

Results
density of states at the Fermi level: 5.76 states/eV/cell
space group: P4/mmm, No. 123


The winner here is 2, beating the second structure by 81 meV per atom.


## 1
Entry from Alexandria via LeMat-Bulk: a relaxed BaCa2CdPd crystal (GGA-PBE).

```
BaCa2CdPd
1.0
5.612 0.000 0.000
0.000 5.612 0.000
0.000 0.000 6.124
Ba Ca Cd Pd
1 2 1 1
direct
0.000 0.000 0.000
0.000 0.500 0.500
0.500 0.000 0.500
0.500 0.500 0.000
0.000 0.000 0.500
```

Results
density of states at the Fermi level: 2.80 states/eV/cell
space group: P4/mmm, No. 123


## 2
Entry from Alexandria via LeMat-Bulk: a relaxed BaCa2CdPd crystal (GGA-PBE).

```
BaCa2CdPd
1.0
5.568 0.000 0.000
0.000 5.568 0.000
0.000 0.000 5.523
Ba Ca Cd Pd
1 2 1 1
direct
0.000 0.000 0.000
0.000 0.500 0.500
0.500 0.000 0.500
0.500 0.500 0.000
0.500 0.500 0.500
```

Results
density of states at the Fermi level: 5.55 states/eV/cell
space group: P4/mmm, No. 123


The winner here is 2, beating the second structure by 17 meV per atom.


## 1
Entry from Alexandria via LeMat-Bulk: a relaxed Ba2CaCdPt crystal (GGA-PBE).

```
Ba2CaCdPt
1.0
6.194 0.000 0.000
0.000 6.194 0.000
0.000 0.000 5.569
Ba Ca Cd Pt
2 1 1 1
direct
0.000 0.500 0.000
0.500 0.000 0.000
0.000 0.000 0.500
0.500 0.500 0.500
0.000 0.000 0.000
```

Results
density of states at the Fermi level: 2.77 states/eV/cell
space group: P4/mmm, No. 123


## 2
Entry from Alexandria via LeMat-Bulk: a relaxed Ba2CaCdPt crystal (GGA-PBE).

```
Ba2CaCdPt
1.0
6.185 0.000 0.000
0.000 6.185 0.000
0.000 0.000 5.411
Ba Ca Cd Pt
2 1 1 1
direct
0.000 0.500 0.000
0.500 0.000 0.000
0.000 0.000 0.500
0.500 0.500 0.500
0.500 0.500 0.000
```

Results
density of states at the Fermi level: 4.67 states/eV/cell
space group: P4/mmm, No. 123


The winner here is 1, beating the second structure by 140 meV per atom.


## 1
Entry from Alexandria via LeMat-Bulk: a relaxed BaCa2CdPt crystal (GGA-PBE).

```
BaCa2CdPt
1.0
5.591 0.000 0.000
0.000 5.591 0.000
0.000 0.000 6.139
Ba Ca Cd Pt
1 2 1 1
direct
0.000 0.000 0.000
0.000 0.500 0.500
0.500 0.000 0.500
0.500 0.500 0.000
0.000 0.000 0.500
```

Results
density of states at the Fermi level: 2.88 states/eV/cell
space group: P4/mmm, No. 123


## 2
Entry from Alexandria via LeMat-Bulk: a relaxed BaCa2CdPt crystal (GGA-PBE).

```
BaCa2CdPt
1.0
5.574 0.000 0.000
0.000 5.574 0.000
0.000 0.000 5.496
Ba Ca Cd Pt
1 2 1 1
direct
0.000 0.000 0.000
0.000 0.500 0.500
0.500 0.000 0.500
0.500 0.500 0.000
0.500 0.500 0.500
```

Results
density of states at the Fermi level: 5.43 states/eV/cell
space group: P4/mmm, No. 123


The winner here is 1, beating the second structure by 40 meV per atom.


## 1
Entry from Alexandria via LeMat-Bulk: a relaxed Ba2CaCdRh crystal (GGA-PBE).

```
Ba2CaCdRh
1.0
5.974 0.000 0.000
0.000 5.974 0.000
0.000 0.000 5.484
Ba Ca Cd Rh
2 1 1 1
direct
0.000 0.500 0.000
0.500 0.000 0.000
0.000 0.000 0.500
0.500 0.500 0.500
0.500 0.500 0.000
```

Results
density of states at the Fermi level: 5.01 states/eV/cell
space group: P4/mmm, No. 123


## 2
Entry from Alexandria via LeMat-Bulk: a relaxed Ba2CaCdRh crystal (GGA-PBE).

```
Ba2CaCdRh
1.0
6.062 0.000 0.000
0.000 6.062 0.000
0.000 0.000 5.500
Ba Ca Cd Rh
2 1 1 1
direct
0.000 0.500 0.000
0.500 0.000 0.000
0.000 0.000 0.500
0.500 0.500 0.500
0.000 0.000 0.000
```

Results
density of states at the Fermi level: 4.88 states/eV/cell
space group: P4/mmm, No. 123


The winner here is 2, beating the second structure by 117 meV per atom.